DFT (GGA+U) results for a relaxed Tl2CoGeO4 crystal.

abc: 5.359 6.450 10.369
angles: 83.84 75.03 65.46
Last column: magnetic moment on the atom in μB.
Atoms (fractional coordinates):
Tl: 0.184 0.000 0.633  0.00
Tl: 0.816 0.000 0.367  0.00
Tl: 0.566 0.500 0.867  0.00
Tl: 0.934 0.500 0.133  0.00
Co: 0.750 0.500 0.500  2.61
Co: 0.000 0.000 0.000  2.61
Ge: 0.250 0.500 0.500  0.00
Ge: 0.500 0.000 0.000  0.00
O: 0.330 0.814 0.078  0.06
O: 0.221 0.186 0.922  0.06
O: 0.856 0.814 0.922  0.06
O: 0.593 0.186 0.078  0.06
O: 0.420 0.686 0.422  0.06
O: 0.529 0.314 0.578  0.06
O: 0.894 0.686 0.578  0.06
O: 0.157 0.314 0.422  0.06

* symmetry: Fddd, No. 70
* total moment: 5.9 μB/cell
* E: -5.30 eV/atom
* crystal system: orthorhombic
* V: 157 Å³/f.u.